TaReSi | PBE | relaxed

Lattice parameters (Å, degrees): 7.141 7.141 3.049 90.00 90.00 120.00
Atoms (fractional coordinates):
Ta  0.000  0.278  0.000
Ta  0.278  0.000  0.000
Ta  0.722  0.722  0.000
Re  0.000  0.613  0.500
Re  0.387  0.387  0.500
Re  0.613  0.000  0.500
Si  0.000  0.000  0.500
Si  0.333  0.667  0.000
Si  0.667  0.333  0.000

Output
spin magnetization	0.00	μB per cell
space-group type	No. 189
uncorrected energy	-10.048	eV/atom